Computed, not measured: a relaxed structure of Tb2CeOs at the PBE level of DFT.

Unit cell a=3.8630 b=6.3644 c=9.3584 alpha=90.00 beta=90.00 gamma=107.65
Last column: nearest neighbours and their distance in Å.
Positions (direct):
Tb (0.1447, 0.2890, 0.4317)  3 Os 2.96-3.17
Tb (0.8553, 0.7110, 0.9317)  3 Os 2.96-3.17
Tb (0.1447, 0.2890, 0.0683)  3 Os 2.96-3.17
Tb (0.8553, 0.7110, 0.5683)  3 Os 2.96-3.17
Ce (0.4178, 0.8364, 0.2500)  2 Os 2.68
Os (0.7654, 0.5312, 0.2500)  2 Ce 2.68, 4 Tb 2.96
Os (0.2346, 0.4688, 0.7500)  2 Ce 2.68, 4 Tb 2.96
Ce (0.5822, 0.1636, 0.7500)  2 Os 2.68

Computed properties:
* polymorph energy (0 for the lowest one): 35 meV/atom
* DFT total energy: -27.2 eV per formula unit
* calculated volume: 219 Å³ per cell
* formation enthalpy at 0 K: -0.186 eV/atom

***

Computed, not measured: a relaxed structure of TbCeTlOs at the PBE level of DFT.

Unit cell a=3.3802 b=3.3802 c=8.5446 alpha=90.00 beta=90.00 gamma=90.00
Last column: nearest neighbours and their distance in Å.
Positions (direct):
Ce (0.5000, 0.5000, 0.3689)  4 Os 2.95
Tb (0.5000, 0.5000, 0.7762)  4 Os 2.96
Os (0.0000, 0.0000, 0.5718)  4 Ce 2.95, 4 Tb 2.96
Tl (0.0000, 0.0000, 0.0678)  4 Tl 3.38, 4 Tb 3.45, 4 Ce 3.51

Computed properties:
* polymorph energy (0 for the lowest one): 0 meV/atom
* DFT total energy: -25.3 eV per formula unit
* calculated volume: 98 Å³ per cell
* formation enthalpy at 0 K: -0.287 eV/atom

***

Computed, not measured: a relaxed structure of TbCeTlOs at the PBE level of DFT.

Unit cell a=5.1386 b=5.1386 c=5.1386 alpha=60.00 beta=60.00 gamma=60.00
Last column: nearest neighbours and their distance in Å.
Positions (direct):
Ce (0.2500, 0.2500, 0.2500)  4 Os 3.15, 4 Tl 3.15
Os (0.0000, 0.0000, 0.0000)  4 Tb 3.15, 4 Ce 3.15
Tl (0.5000, 0.5000, 0.5000)  4 Ce 3.15, 4 Tb 3.15
Tb (0.7500, 0.7500, 0.7500)  4 Tl 3.15, 4 Os 3.15

Computed properties:
* polymorph energy (0 for the lowest one): 228 meV/atom
* DFT total energy: -24.4 eV per formula unit
* calculated volume: 96 Å³ per cell
* formation enthalpy at 0 K: -0.060 eV/atom

***

Computed, not measured: a relaxed structure of Ce6TcOs at the PBE level of DFT.

Unit cell a=6.3893 b=6.3910 c=7.4661 alpha=64.69 beta=64.67 gamma=60.02
Last column: nearest neighbours and their distance in Å.
Positions (direct):
Tc (0.5000, 0.5000, 0.5000)  6 Ce 2.74
Ce (0.4443, 0.7490, 0.7485)  1 Tc 2.74, 1 Os 2.76
Ce (0.0583, 0.4441, 0.7484)  1 Tc 2.74, 1 Os 2.76
Ce (0.2510, 0.9418, 0.2516)  1 Tc 2.74, 1 Os 2.76
Ce (0.9417, 0.5559, 0.2516)  1 Tc 2.74, 1 Os 2.76
Ce (0.7490, 0.0582, 0.7484)  1 Tc 2.74, 1 Os 2.76
Ce (0.5557, 0.2510, 0.2515)  1 Tc 2.74, 1 Os 2.76
Os (0.0000, 0.0000, 0.0000)  6 Ce 2.76

Computed properties:
* polymorph energy (0 for the lowest one): 0 meV/atom
* DFT total energy: -56.6 eV per formula unit
* calculated volume: 230 Å³ per cell
* formation enthalpy at 0 K: 0.076 eV/atom